VASP calculation (GGA-PBE) on KIn2Si after structural relaxation.

As for the total DFT energy (no corrections): -0.105 Ha/atom. Its formation energy (no corrections) is 0.14 eV/atom.

The structure belongs to space group Pm (No. 6); the cell edges are 3.458, 4.714 and 7.447 Å and the angles 90.00°, 103.14° and 90.00°. The distinct sites, in fractional coordinates, are K at (0.000, 0.000, 0.000), In at (0.326, 0.500, 0.649), In at (0.748, 0.000, 0.468) and Si at (0.636, 0.500, 0.289).



VASP calculation (GGA-PBE) on KInSi after structural relaxation.

As for the total DFT energy (no corrections): -0.114 Ha/atom. Its formation energy (no corrections) is -0.01 eV/atom.

The structure belongs to space group P-6m2 (No. 187); the cell edges are 4.4891, 4.4891 and 5.5268 Å and the angles 90.00°, 90.00° and 120.00°. The distinct sites, in fractional coordinates, are K at (0.0000, 0.0000, 0.0000), In at (0.3333, 0.6667, 0.5000) and Si at (0.6667, 0.3333, 0.5000).



VASP calculation (GGA-PBE) on K2InSi after structural relaxation.

As for the total DFT energy (no corrections): -0.088 Ha/atom. Its formation energy (no corrections) is 0.18 eV/atom.

The structure belongs to space group Pmm2 (No. 25); the cell edges are 3.583, 4.064 and 10.071 Å and the angles 90.00°, 90.00° and 90.00°. The distinct sites, in fractional coordinates, are K at (0.000, 0.000, 0.000), K at (0.500, 0.500, 0.412), In at (0.500, 0.500, 0.756) and Si at (0.000, 0.000, 0.642).